Entry one
# ZnTeP2

A relaxed structure of ZnTeP2 (PBE, the Alexandria database).

The space group is F-43m (No. 216) and the conventional cell measures 6.6600, 6.6600 and 6.6600 Å, with angles of 90.00, 90.00 and 90.00 degrees. The asymmetric unit holds Zn at (0.0000, 0.0000, 0.0000), Te at (0.2500, 0.2500, 0.7500), P at (0.0000, 0.0000, 0.5000) and P at (0.2500, 0.2500, 0.2500).

Its spin magnetization is 0.00 μB/f.u. The density of states at the Fermi level comes out at 0.45 states/eV/atom.



Entry two
# ZnTeP2

A relaxed structure of ZnTeP2 (PBE, the Alexandria database).

The space group is R3m (No. 160, hexagonal axes) and the conventional cell measures 3.4591, 3.4591 and 26.8572 Å, with angles of 90.00, 90.00 and 120.00 degrees. The asymmetric unit holds Zn at (0.0000, 0.0000, 0.0000), Te at (0.0000, 0.0000, 0.2630), P at (0.0000, 0.0000, 0.4464) and P at (0.0000, 0.0000, 0.7359).

Its spin magnetization is 0.00 μB/f.u. The density of states at the Fermi level comes out at 0.55 states/eV/atom.



Which of them is the most stable? Correct choice: entry two.



Entry one
# ZnTeP2

A relaxed structure of ZnTeP2 (PBE, the Alexandria database).

The space group is P2/m (No. 10) and the conventional cell measures 4.5049, 3.7750 and 5.0684 Å, with angles of 90.00, 101.37 and 90.00 degrees. The asymmetric unit holds Zn at (0.0000, 0.0000, 0.0000), Te at (0.5000, 0.0000, 0.5000) and P at (0.2995, 0.5000, 0.8375).

Its spin magnetization is 0.00 μB/f.u. The density of states at the Fermi level comes out at 0.29 states/eV/atom.



Entry two
# ZnTeP2

A relaxed structure of ZnTeP2 (PBE, the Alexandria database).

The space group is Immm (No. 71) and the conventional cell measures 3.7055, 3.7390 and 11.6643 Å, with angles of 90.00, 90.00 and 90.00 degrees. The asymmetric unit holds Zn at (0.0000, 0.0000, 0.0000), Te at (0.0000, 0.0000, 0.5000) and P at (0.0000, 0.5000, 0.2394).

Its spin magnetization is 0.00 μB/f.u. The density of states at the Fermi level comes out at 0.56 states/eV/atom.



Which of them is the most stable? Correct choice: entry one.



Entry one
# ZnTeP2

A relaxed structure of ZnTeP2 (PBE, the Alexandria database).

The space group is Pmm2 (No. 25) and the conventional cell measures 4.1251, 4.6872 and 4.7477 Å, with angles of 90.00, 90.00 and 90.00 degrees. The asymmetric unit holds Zn at (0.0000, 0.0000, 0.0000), Te at (0.0000, 0.5000, 0.3194), P at (0.5000, 0.0000, 0.7527) and P at (0.5000, 0.5000, 0.6525).

Its spin magnetization is 0.00 μB/f.u. The density of states at the Fermi level comes out at 0.24 states/eV/atom.



Entry two
# ZnTeP2

A relaxed structure of ZnTeP2 (PBE, the Alexandria database).

The space group is P4/mmm (No. 123) and the conventional cell measures 3.2456, 3.2456 and 9.3964 Å, with angles of 90.00, 90.00 and 90.00 degrees. The asymmetric unit holds Zn at (0.0000, 0.0000, 0.0000), Te at (0.0000, 0.0000, 0.5000) and P at (0.5000, 0.5000, 0.1176).

Its spin magnetization is 0.00 μB/f.u. The density of states at the Fermi level comes out at 1.07 states/eV/atom.



Entry three
# ZnTeP2

A relaxed structure of ZnTeP2 (PBE, the Alexandria database).

The space group is C2/m (No. 12) and the conventional cell measures 11.0431, 3.3961 and 5.0065 Å, with angles of 90.00, 110.45 and 90.00 degrees. The asymmetric unit holds Zn at (0.0000, 0.0000, 0.0000), Te at (0.0000, 0.5000, 0.5000) and P at (0.2384, 0.0000, 0.1365).

Its spin magnetization is 0.00 μB/f.u. The density of states at the Fermi level comes out at 0.22 states/eV/atom.



Entry four
# ZnTeP2

A relaxed structure of ZnTeP2 (PBE, the Alexandria database).

The space group is Cm (No. 8) and the conventional cell measures 13.2011, 3.8966 and 4.0595 Å, with angles of 90.00, 96.07 and 90.00 degrees. The asymmetric unit holds Zn at (0.0000, 0.0000, 0.0000), Te at (0.3016, 0.5000, 0.1982), P at (0.0192, 0.5000, 0.6841) and P at (0.3533, 0.0000, 0.6218).

Its spin magnetization is 0.00 μB/f.u. The density of states at the Fermi level comes out at 0.13 states/eV/atom.



Which of them is the most stable? Correct choice: entry three.



Entry one
# ZnTeP2

A relaxed structure of ZnTeP2 (PBE, the Alexandria database).

The space group is P4/mmm (No. 123) and the conventional cell measures 3.5714, 3.5714 and 6.1328 Å, with angles of 90.00, 90.00 and 90.00 degrees. The asymmetric unit holds Zn at (0.0000, 0.0000, 0.0000), Te at (0.0000, 0.0000, 0.5000) and P at (0.5000, 0.5000, 0.1761).

Its spin magnetization is 0.00 μB/f.u. The density of states at the Fermi level comes out at 0.33 states/eV/atom.



Entry two
# ZnTeP2

A relaxed structure of ZnTeP2 (PBE, the Alexandria database).

The space group is Cmm2 (No. 35) and the conventional cell measures 3.1734, 6.8419 and 9.1251 Å, with angles of 90.00, 90.00 and 90.00 degrees. The asymmetric unit holds Zn at (0.0000, 0.0000, 0.0000), Te at (0.0000, 0.5000, 0.2458), P at (0.0000, 0.0000, 0.6184) and P at (0.0000, 0.5000, 0.7758).

Its spin magnetization is 0.00 μB/f.u. The density of states at the Fermi level comes out at 0.49 states/eV/atom.



Entry three
# ZnTeP2

A relaxed structure of ZnTeP2 (PBE, the Alexandria database).

The space group is R-3m (No. 166, hexagonal axes) and the conventional cell measures 3.8337, 3.8337 and 18.2926 Å, with angles of 90.00, 90.00 and 120.00 degrees. The asymmetric unit holds Zn at (0.0000, 0.0000, 0.0000), Te at (0.0000, 0.0000, 0.5000) and P at (0.0000, 0.0000, 0.2597).

Its spin magnetization is 0.00 μB/f.u. The density of states at the Fermi level comes out at 0.39 states/eV/atom.



Which of them is the most stable? Correct choice: entry three.



Entry one
# ZnTeP2

A relaxed structure of ZnTeP2 (PBE, the Alexandria database).

The space group is P4mm (No. 99) and the conventional cell measures 3.6986, 3.6986 and 6.0373 Å, with angles of 90.00, 90.00 and 90.00 degrees. The asymmetric unit holds Zn at (0.0000, 0.0000, 0.0000), Te at (0.5000, 0.5000, 0.8461), P at (0.0000, 0.0000, 0.3908) and P at (0.5000, 0.5000, 0.4288).

Its spin magnetization is 0.00 μB/f.u. The density of states at the Fermi level comes out at 0.46 states/eV/atom.



Entry two
# ZnTeP2

A relaxed structure of ZnTeP2 (PBE, the Alexandria database).

The space group is Imm2 (No. 44) and the conventional cell measures 3.1289, 3.6374 and 17.3354 Å, with angles of 90.00, 90.00 and 90.00 degrees. The asymmetric unit holds Zn at (0.0000, 0.0000, 0.0000), Te at (0.0000, 0.5000, 0.1205), P at (0.0000, 0.0000, 0.4220) and P at (0.0000, 0.5000, 0.8367).

Its spin magnetization is 0.00 μB/f.u. The density of states at the Fermi level comes out at 0.27 states/eV/atom.



Which of them is the most stable? Correct choice: entry two.



Entry one
# ZnTeP2

A relaxed structure of ZnTeP2 (PBE, the Alexandria database).

The space group is I-42d (No. 122) and the conventional cell measures 5.7286, 5.7286 and 12.3219 Å, with angles of 90.00, 90.00 and 90.00 degrees. The asymmetric unit holds Zn at (0.0000, 0.0000, 0.0000), Te at (0.0000, 0.0000, 0.5000) and P at (0.2033, 0.2500, 0.1250).

Its spin magnetization is 0.00 μB/f.u. The density of states at the Fermi level comes out at 0.34 states/eV/atom.



Entry two
# ZnTeP2

A relaxed structure of ZnTeP2 (PBE, the Alexandria database).

The space group is P4/mmm (No. 123) and the conventional cell measures 4.7199, 4.7199 and 3.3377 Å, with angles of 90.00, 90.00 and 90.00 degrees. The asymmetric unit holds Zn at (0.0000, 0.0000, 0.0000), Te at (0.5000, 0.5000, 0.0000) and P at (0.0000, 0.5000, 0.5000).

Its spin magnetization is 0.00 μB/f.u. The density of states at the Fermi level comes out at 0.46 states/eV/atom.



Entry three
# ZnTeP2

A relaxed structure of ZnTeP2 (PBE, the Alexandria database).

The space group is P4mm (No. 99) and the conventional cell measures 3.2672, 3.2672 and 8.9013 Å, with angles of 90.00, 90.00 and 90.00 degrees. The asymmetric unit holds Zn at (0.0000, 0.0000, 0.0000), Te at (0.5000, 0.5000, 0.8067), P at (0.0000, 0.0000, 0.2605) and P at (0.5000, 0.5000, 0.3418).

Its spin magnetization is 0.00 μB/f.u. The density of states at the Fermi level comes out at 0.73 states/eV/atom.



Entry four
# ZnTeP2

A relaxed structure of ZnTeP2 (PBE, the Alexandria database).

The space group is Fm-3m (No. 225) and the conventional cell measures 6.6673, 6.6673 and 6.6673 Å, with angles of 90.00, 90.00 and 90.00 degrees. The asymmetric unit holds Zn at (0.0000, 0.0000, 0.0000), Te at (0.0000, 0.0000, 0.5000) and P at (0.2500, 0.2500, 0.2500).

Its spin magnetization is 0.00 μB/f.u. The density of states at the Fermi level comes out at 0.47 states/eV/atom.



Which of them is the most stable? Correct choice: entry three.



Entry one
# ZnTeP2

A relaxed structure of ZnTeP2 (PBE, the Alexandria database).

The space group is Pmmm (No. 47) and the conventional cell measures 3.3844, 4.6484 and 4.7314 Å, with angles of 90.00, 90.00 and 90.00 degrees. The asymmetric unit holds Zn at (0.0000, 0.0000, 0.0000), Te at (0.5000, 0.0000, 0.5000), P at (0.0000, 0.5000, 0.5000) and P at (0.5000, 0.5000, 0.0000).

Its spin magnetization is 0.00 μB/f.u. The density of states at the Fermi level comes out at 0.51 states/eV/atom.



Entry two
# ZnTeP2

A relaxed structure of ZnTeP2 (PBE, the Alexandria database).

The space group is I4/mmm (No. 139) and the conventional cell measures 5.4183, 5.4183 and 5.3599 Å, with angles of 90.00, 90.00 and 90.00 degrees. The asymmetric unit holds Zn at (0.0000, 0.0000, 0.0000), Te at (0.0000, 0.0000, 0.5000) and P at (0.0000, 0.5000, 0.0000).

Its spin magnetization is 0.00 μB/f.u. The density of states at the Fermi level comes out at 0.28 states/eV/atom.



Which of them is the most stable? Correct choice: entry two.



Entry one
# ZrTe3P

A relaxed structure of ZrTe3P (PBE, the Alexandria database).

The space group is Pm-3m (No. 221) and the conventional cell measures 5.6063, 5.6063 and 5.6063 Å, with angles of 90.00, 90.00 and 90.00 degrees. The asymmetric unit holds Zr at (0.0000, 0.0000, 0.0000), Te at (0.0000, 0.0000, 0.5000) and P at (0.5000, 0.5000, 0.5000).

Its spin magnetization is 1.90 μB/f.u. The density of states at the Fermi level comes out at 0.96 states/eV/atom.



Entry two
# ZrTe3P

A relaxed structure of ZrTe3P (PBE, the Alexandria database).

The space group is Pm-3m (No. 221) and the conventional cell measures 5.1546, 5.1546 and 5.1546 Å, with angles of 90.00, 90.00 and 90.00 degrees. The asymmetric unit holds Zr at (0.0000, 0.0000, 0.0000), Te at (0.0000, 0.5000, 0.5000) and P at (0.5000, 0.5000, 0.5000).

Its spin magnetization is 0.98 μB/f.u. The density of states at the Fermi level comes out at 1.42 states/eV/atom.



Which of them is the most stable? Correct choice: entry two.